1.
{
  "formula": "TbErSi2Os",
  "functional": "PBE",
  "state": "relaxed",
  "energy_ev_per_cell": -70.567,
  "relative_energy_mev_per_atom": 0.0,
  "cell": [[5.310, -2.110, 0.000], [5.310, 2.110, 0.000], [-4.799, 0.000, 8.759]],
  "species": ["Tb", "Tb", "Er", "Er", "Si", "Si", "Si", "Si", "Os", "Os"],
  "frac_coords": [[0.187, 0.187, 0.111], [0.813, 0.813, 0.889], [0.007, 0.007, 0.677], [0.993, 0.993, 0.323], [0.357, 0.357, 0.440], [0.497, 0.497, 0.126], [0.503, 0.503, 0.874], [0.643, 0.643, 0.560], [0.269, 0.269, 0.626], [0.731, 0.731, 0.374]]
}



2.
{
  "formula": "TbErSi2Os",
  "functional": "PBE",
  "state": "relaxed",
  "energy_ev_per_cell": -70.444,
  "relative_energy_mev_per_atom": 12.4,
  "cell": [[5.347, -2.112, 0.000], [5.347, 2.112, 0.000], [-4.852, 0.000, 8.723]],
  "species": ["Tb", "Tb", "Er", "Er", "Si", "Si", "Si", "Si", "Os", "Os"],
  "frac_coords": [[0.010, 0.010, 0.180], [0.990, 0.990, 0.820], [0.184, 0.184, 0.610], [0.816, 0.816, 0.390], [0.355, 0.355, 0.939], [0.497, 0.497, 0.624], [0.503, 0.503, 0.376], [0.645, 0.645, 0.061], [0.271, 0.271, 0.128], [0.729, 0.729, 0.872]]
}



3.
{
  "formula": "ErSi2TcOs",
  "functional": "PBE",
  "state": "relaxed",
  "energy_ev_per_cell": -40.342,
  "cell": [[-2.091, 2.091, 4.824], [2.091, -2.091, 4.824], [2.091, 2.091, -4.824]],
  "species": ["Er", "Si", "Si", "Tc", "Os"],
  "frac_coords": [[0.000, 0.000, 0.000], [0.373, 0.373, 0.000], [0.627, 0.627, 0.000], [0.250, 0.750, 0.500], [0.750, 0.250, 0.500]]
}



4.
{
  "formula": "ErTmSi2Os",
  "functional": "PBE",
  "state": "relaxed",
  "energy_ev_per_cell": -70.330,
  "relative_energy_mev_per_atom": 5.4,
  "cell": [[5.264, -2.104, 0.000], [5.264, 2.104, 0.000], [-4.726, 0.000, 8.676]],
  "species": ["Er", "Er", "Tm", "Tm", "Si", "Si", "Si", "Si", "Os", "Os"],
  "frac_coords": [[0.007, 0.007, 0.179], [0.993, 0.993, 0.821], [0.185, 0.185, 0.611], [0.815, 0.815, 0.389], [0.359, 0.359, 0.940], [0.495, 0.495, 0.624], [0.505, 0.505, 0.376], [0.641, 0.641, 0.060], [0.269, 0.269, 0.128], [0.731, 0.731, 0.872]]
}



5.
{
  "formula": "ErTmSi2Os",
  "functional": "PBE",
  "state": "relaxed",
  "energy_ev_per_cell": -70.383,
  "relative_energy_mev_per_atom": 0.0,
  "cell": [[5.259, -2.104, 0.000], [5.259, 2.104, 0.000], [-4.717, 0.000, 8.677]],
  "species": ["Er", "Er", "Tm", "Tm", "Si", "Si", "Si", "Si", "Os", "Os"],
  "frac_coords": [[0.185, 0.185, 0.111], [0.815, 0.815, 0.889], [0.007, 0.007, 0.678], [0.993, 0.993, 0.322], [0.359, 0.359, 0.440], [0.495, 0.495, 0.124], [0.505, 0.505, 0.876], [0.641, 0.641, 0.560], [0.269, 0.269, 0.628], [0.731, 0.731, 0.372]]
}



6.
{
  "formula": "YErSi2Os",
  "functional": "PBE",
  "state": "relaxed",
  "energy_ev_per_cell": -74.203,
  "relative_energy_mev_per_atom": 15.6,
  "cell": [[5.331, -2.108, 0.000], [5.331, 2.108, 0.000], [-4.811, 0.000, 8.714]],
  "species": ["Y", "Y", "Er", "Er", "Si", "Si", "Si", "Si", "Os", "Os"],
  "frac_coords": [[0.010, 0.010, 0.180], [0.990, 0.990, 0.820], [0.184, 0.184, 0.610], [0.816, 0.816, 0.390], [0.355, 0.355, 0.939], [0.497, 0.497, 0.624], [0.503, 0.503, 0.376], [0.645, 0.645, 0.061], [0.271, 0.271, 0.128], [0.729, 0.729, 0.872]]
}



7.
{
  "formula": "YErSi4Os2",
  "functional": "PBE",
  "state": "relaxed",
  "energy_ev_per_cell": -60.986,
  "cell": [[4.415, 0.000, 0.000], [0.000, 4.085, 0.000], [-1.659, 0.000, 7.957]],
  "species": ["Y", "Er", "Si", "Si", "Si", "Si", "Os", "Os"],
  "frac_coords": [[0.000, 0.000, 0.000], [0.179, 0.500, 0.405], [0.249, 0.000, 0.695], [0.551, 0.500, 0.113], [0.624, 0.000, 0.290], [0.923, 0.500, 0.706], [0.471, 0.500, 0.817], [0.701, 0.000, 0.584]]
}



8.
{
  "formula": "YErSi2Os",
  "functional": "PBE",
  "state": "relaxed",
  "energy_ev_per_cell": -74.358,
  "relative_energy_mev_per_atom": 0.0,
  "cell": [[5.295, -2.109, 0.000], [5.295, 2.109, 0.000], [-4.774, 0.000, 8.748]],
  "species": ["Y", "Y", "Er", "Er", "Si", "Si", "Si", "Si", "Os", "Os"],
  "frac_coords": [[0.186, 0.186, 0.110], [0.814, 0.814, 0.890], [0.007, 0.007, 0.677], [0.993, 0.993, 0.323], [0.357, 0.357, 0.440], [0.496, 0.496, 0.126], [0.504, 0.504, 0.874], [0.643, 0.643, 0.560], [0.269, 0.269, 0.626], [0.731, 0.731, 0.374]]
}



9.
{
  "formula": "SmErSn2Os2",
  "functional": "PBE",
  "state": "relaxed",
  "energy_ev_per_cell": -41.660,
  "cell": [[4.520, 0.000, 0.000], [0.000, 4.520, 0.000], [0.000, 0.000, 6.836]],
  "species": ["Sm", "Er", "Sn", "Sn", "Os", "Os"],
  "frac_coords": [[0.000, 0.000, 0.000], [0.500, 0.500, 0.572], [0.000, 0.000, 0.519], [0.500, 0.500, 0.068], [0.000, 0.500, 0.295], [0.500, 0.000, 0.295]]
}



10.
{
  "formula": "Sm3Er3Te2Os",
  "functional": "PBE",
  "state": "relaxed",
  "energy_ev_per_cell": -51.079,
  "relative_energy_mev_per_atom": 121.1,
  "cell": [[8.400, 0.000, 0.000], [-4.200, 7.274, 0.000], [0.000, 0.000, 4.025]],
  "species": ["Sm", "Sm", "Sm", "Er", "Er", "Er", "Te", "Te", "Os"],
  "frac_coords": [[0.000, 0.244, 0.000], [0.244, 0.000, 0.000], [0.756, 0.756, 0.000], [0.000, 0.609, 0.500], [0.391, 0.391, 0.500], [0.609, 0.000, 0.500], [0.333, 0.667, 0.000], [0.667, 0.333, 0.000], [0.000, 0.000, 0.500]]
}



11.
{
  "formula": "Sm3Er3Te2Os",
  "functional": "PBE",
  "state": "relaxed",
  "energy_ev_per_cell": -52.169,
  "relative_energy_mev_per_atom": 0.0,
  "cell": [[8.337, 0.000, 0.000], [-4.169, 7.220, 0.000], [0.000, 0.000, 4.089]],
  "species": ["Sm", "Sm", "Sm", "Er", "Er", "Er", "Te", "Te", "Os"],
  "frac_coords": [[0.000, 0.604, 0.000], [0.396, 0.396, 0.000], [0.604, 0.000, 0.000], [0.000, 0.234, 0.500], [0.234, 0.000, 0.500], [0.766, 0.766, 0.500], [0.333, 0.667, 0.500], [0.667, 0.333, 0.500], [0.000, 0.000, 0.000]]
}



12.
{
  "formula": "Sm3Er2TmTe2Os",
  "functional": "PBE",
  "state": "relaxed",
  "energy_ev_per_cell": -52.096,
  "cell": [[4.083, 0.000, 0.000], [0.000, 7.212, 4.169], [0.000, -7.212, 4.169]],
  "species": ["Sm", "Sm", "Sm", "Er", "Er", "Tm", "Te", "Te", "Os"],
  "frac_coords": [[0.000, 0.000, 0.000], [0.000, 0.209, 0.604], [0.000, 0.604, 0.209], [0.500, 0.604, 0.839], [0.500, 0.839, 0.604], [0.500, 0.370, 0.370], [0.500, 0.271, 0.938], [0.500, 0.938, 0.271], [0.000, 0.603, 0.603]]
}